[1]
# MgBSe2Br

MgBSe2Br after structural relaxation (GGA-PBE, the Alexandria database).

abc: 4.4296 4.4296 5.1901
angles: 90.00 90.00 90.00
Closest atoms and distances in Å follow each position.
Sites, in units of the cell vectors:
1 Mg 0.0000 0.0000 0.0000  4 Br 3.13, 8 Se 3.41
2 B 0.5000 0.5000 0.5000  4 Se 2.21
3 Se 0.0000 0.5000 0.5000  2 B 2.21
4 Se 0.5000 0.0000 0.5000  2 B 2.21
5 Br 0.5000 0.5000 0.0000  2 B 2.60

Calculated values
E: -15.586 eV per cell
M_tot: 0.0 μB/f.u.
DOS(E_F): 0.24 states/eV/atom
offset from the most stable computed form: 0 meV/atom
formation energy (no corrections): 266 meV/atom

***

[2]
# La2NdCd

La2NdCd after structural relaxation (GGA-PBE, the Alexandria database).

abc: 3.7204 3.7204 34.0136
angles: 90.00 90.00 120.00
Closest atoms and distances in Å follow each position.
Sites, in units of the cell vectors:
1 La 0.0000 0.0000 0.2446  3 Cd 3.41, 3 Nd 3.71, 6 La 3.72
2 La 0.0000 0.0000 0.7554  3 Cd 3.41, 3 Nd 3.71, 6 La 3.72
3 La 0.3333 0.6667 0.4221  3 Cd 3.41, 3 Nd 3.71, 6 La 3.72
4 La 0.3333 0.6667 0.9112  3 Cd 3.41, 3 Nd 3.71, 6 La 3.72
5 La 0.6667 0.3333 0.0888  3 Cd 3.41, 3 Nd 3.71, 6 La 3.72
6 La 0.6667 0.3333 0.5779  3 Cd 3.41, 3 Nd 3.71, 6 La 3.72
7 Nd 0.0000 0.0000 0.0000  6 La 3.71, 6 Nd 3.72
8 Nd 0.3333 0.6667 0.6667  6 La 3.71, 6 Nd 3.72
9 Nd 0.6667 0.3333 0.3333  6 La 3.71, 6 Nd 3.72
10 Cd 0.0000 0.0000 0.5000  6 La 3.41, 6 Cd 3.72
11 Cd 0.3333 0.6667 0.1667  6 La 3.41, 6 Cd 3.72
12 Cd 0.6667 0.3333 0.8333  6 La 3.41, 6 Cd 3.72

Calculated values
E: -47.405 eV per cell
M_tot: 0.0 μB/f.u.
DOS(E_F): 1.08 states/eV/atom
E_form: -66 meV per atom
offset from the most stable computed form: 88 meV/atom

***

[3]
# B2C

B2C after structural relaxation (GGA-PBE, the Alexandria database).

abc: 2.7192 3.3756 5.2845
angles: 89.80 75.15 66.83
Closest atoms and distances in Å follow each position.
Sites, in units of the cell vectors:
1 B 0.0503 0.1737 0.2281  2 C 1.58
2 B 0.1648 0.2800 0.8896  1 C 1.58, 1 B 1.67
3 B 0.8352 0.7200 0.1104  1 C 1.58, 1 B 1.67
4 B 0.9497 0.8263 0.7719  2 C 1.58
5 C 0.4623 0.9386 0.6367  1 C 1.49, 3 B 1.58
6 C 0.5377 0.0614 0.3634  1 C 1.49, 3 B 1.58

Calculated values
E: -43.237 eV per cell
M_tot: 0.0 μB/f.u.
DOS(E_F): 0.08 states/eV/atom
E_form: 320 meV per atom
offset from the most stable computed form: 135 meV/atom

***

[4]
# TmLuH

TmLuH after structural relaxation (GGA-PBE, the Alexandria database).

abc: 3.2787 3.2787 11.8262
angles: 90.00 90.00 90.00
Closest atoms and distances in Å follow each position.
Sites, in units of the cell vectors:
1 Tm 0.0000 0.0000 0.0000  1 H 2.18
2 Tm 0.5000 0.5000 0.5000  1 H 2.18
3 Lu 0.0000 0.0000 0.7070  4 H 2.33
4 Lu 0.5000 0.5000 0.2070  4 H 2.33
5 H 0.0000 0.0000 0.1842  1 Tm 2.18, 4 Lu 2.33
6 H 0.5000 0.5000 0.6842  1 Tm 2.18, 4 Lu 2.33

Calculated values
E: -25.241 eV per cell
M_tot: 0.0 μB/f.u.
DOS(E_F): 1.01 states/eV/atom
offset from the most stable computed form: 157 meV/atom

***

[5]
# Sr3Li3Au

Sr3Li3Au after structural relaxation (GGA-PBE, the Alexandria database).

abc: 4.5842 4.7462 21.3134
angles: 90.00 90.00 90.00
Closest atoms and distances in Å follow each position.
Sites, in units of the cell vectors:
1 Sr 0.0000 0.0000 0.0000  7 Li 3.51-3.85
2 Sr 0.0000 0.0000 0.3689  2 Au 3.27, 4 Li 3.46
3 Sr 0.0000 0.5000 0.2007  6 Li 3.41-3.57, 4 Au 3.53
4 Sr 0.5000 0.0000 0.7007  6 Li 3.41-3.57, 4 Au 3.53
5 Sr 0.5000 0.5000 0.5000  7 Li 3.51-3.85
6 Sr 0.5000 0.5000 0.8689  2 Au 3.27, 4 Li 3.46
7 Li 0.0000 0.0000 0.5565  2 Li 2.92
8 Li 0.0000 0.0000 0.8193  2 Au 2.70
9 Li 0.0000 0.5000 0.6363  1 Au 2.62, 2 Li 2.92
10 Li 0.5000 0.0000 0.1363  1 Au 2.62, 2 Li 2.92
11 Li 0.5000 0.5000 0.0565  2 Li 2.92
12 Li 0.5000 0.5000 0.3193  2 Au 2.70
13 Au 0.0000 0.5000 0.7592  3 Li 2.62-2.70
14 Au 0.5000 0.0000 0.2592  3 Li 2.62-2.70

Calculated values
E: -31.256 eV per cell
M_tot: 0.0 μB/f.u.
DOS(E_F): 0.69 states/eV/atom
E_form: -223 meV per atom

***

[6]
# BaLiIn2Ag4

BaLiIn2Ag4 after structural relaxation (GGA-PBE, the Alexandria database).

abc: 9.8825 9.8825 9.8825
angles: 28.05 28.05 28.05
Closest atoms and distances in Å follow each position.
Sites, in units of the cell vectors:
1 Ba 0.0000 0.0000 0.0000  8 Ag 3.50-3.81, 6 In 3.90
2 Li 0.5000 0.5000 0.5000  2 Ag 2.60
3 In 0.2367 0.2367 0.2367  7 Ag 2.83-2.96
4 In 0.7633 0.7633 0.7633  7 Ag 2.83-2.96
5 Ag 0.1339 0.1339 0.1339  3 Li 2.92, 4 In 2.93-2.96, 3 Ag 3.23
6 Ag 0.4086 0.4086 0.4086  1 Li 2.60, 3 In 2.83
7 Ag 0.5914 0.5914 0.5914  1 Li 2.60, 3 In 2.83
8 Ag 0.8661 0.8661 0.8661  3 Li 2.92, 4 In 2.93-2.96, 3 Ag 3.23

Calculated values
E: -22.433 eV per cell
M_tot: 0.0 μB/f.u.
DOS(E_F): 0.40 states/eV/atom
E_form: -214 meV per atom

***

[7]
# MnGaSe3

MnGaSe3 after structural relaxation (GGA-PBE, the Alexandria database).

abc: 4.9600 4.9600 4.9600
angles: 90.00 90.00 90.00
Closest atoms and distances in Å follow each position.
Sites, in units of the cell vectors:
1 Mn 0.0000 0.0000 0.0000  12 Se 3.51
2 Ga 0.5000 0.5000 0.5000  6 Se 2.48
3 Se 0.0000 0.5000 0.5000  2 Ga 2.48
4 Se 0.5000 0.0000 0.5000  2 Ga 2.48
5 Se 0.5000 0.5000 0.0000  2 Ga 2.48

Calculated values
E: -20.646 eV per cell
M_tot: 4.8 μB/f.u.
DOS(E_F): 0.61 states/eV/atom
formation energy (no corrections): 401 meV/atom

***

[8]
# CsAlTe4

CsAlTe4 after structural relaxation (GGA-PBE, the Alexandria database).

abc: 11.6615 11.6615 6.6338
angles: 98.88 98.88 141.56
Closest atoms and distances in Å follow each position.
Sites, in units of the cell vectors:
1 Cs 0.1006 0.8994 0.7500  10 Te 3.86-4.31, 2 Al 4.32
2 Cs 0.8994 0.1006 0.2500  10 Te 3.86-4.31, 2 Al 4.32
3 Al 0.4992 0.5008 0.7500  4 Te 2.63-2.64
4 Al 0.5008 0.4992 0.2500  4 Te 2.63-2.64
5 Te 0.2043 0.6645 0.4010  1 Te 2.63
6 Te 0.2341 0.3757 0.8970  2 Al 2.63-2.64
7 Te 0.3355 0.7957 0.0990  1 Te 2.63
8 Te 0.3757 0.2341 0.3970  2 Al 2.63-2.64
9 Te 0.6243 0.7659 0.6030  2 Al 2.63-2.64
10 Te 0.6645 0.2043 0.9010  1 Te 2.63
11 Te 0.7659 0.6243 0.1030  2 Al 2.63-2.64
12 Te 0.7957 0.3355 0.5990  1 Te 2.63

Calculated values
E: -39.325 eV per cell
M_tot: 0.0 μB/f.u.
DOS(E_F): 0.57 states/eV/atom
formation energy (no corrections): -417 meV/atom

***

[9]
# AsPIO2

AsPIO2 after structural relaxation (GGA-PBE, the Alexandria database).

abc: 3.7238 3.7238 7.0654
angles: 90.00 90.00 90.00
Closest atoms and distances in Å follow each position.
Sites, in units of the cell vectors:
1 As 0.0000 0.0000 0.0000  4 I 2.63
2 P 0.5000 0.5000 0.5000  4 O 1.86
3 I 0.5000 0.5000 0.0000  4 As 2.63
4 O 0.0000 0.5000 0.5000  2 P 1.86
5 O 0.5000 0.0000 0.5000  2 P 1.86

Calculated values
E: -20.962 eV per cell
M_tot: 0.0 μB/f.u.
DOS(E_F): 0.50 states/eV/atom
offset from the most stable computed form: 181 meV/atom
formation energy (no corrections): 113 meV/atom

***

Question: Which formula does entry 5 have?
Answer: Sr3Li3Au

***

Question: E of number 5 (Sr3Li3Au)?
Answer: -31.256 eV per cell

***

Question: The highest DOS(E_F) belongs to which entry?
Answer: La2NdCd